Entry 1:
Here is a geometry-optimized Ba2YHg structure from Alexandria via LeMat-Bulk. Energies are from PBE-GGA. Values from VASP.

Summary:
symmetry	P2/m, No. 10
uncorrected energy	-2.58	eV per atom
total magnetization	0.00	μB per formula unit

Quantum ESPRESSO input file:
```
&SYSTEM
  ibrav = 0, nat = 4, ntyp = 3
/
ATOMIC_SPECIES
Ba 137.33 Ba.upf
Y 88.91 Y.upf
Hg 200.59 Hg.upf
CELL_PARAMETERS angstrom
5.550 0.000 0.000
0.000 4.596 0.000
-0.050 0.000 5.862
ATOMIC_POSITIONS angstrom
Ba 0.000 0.000 0.000
Ba 2.775 2.298 0.000
Y -0.025 2.298 2.931
Hg 2.750 0.000 2.931
```


Entry 2:
Here is a geometry-optimized BaYHg2 structure from Alexandria via LeMat-Bulk. Energies are from PBE-GGA. Values from VASP.

Summary:
symmetry	Amm2, No. 38
uncorrected energy	-2.61	eV per atom
total magnetization	0.00	μB per formula unit

Quantum ESPRESSO input file:
```
&SYSTEM
  ibrav = 0, nat = 4, ntyp = 3
/
ATOMIC_SPECIES
Ba 137.33 Ba.upf
Y 88.91 Y.upf
Hg 200.59 Hg.upf
CELL_PARAMETERS angstrom
4.972 0.000 0.000
0.000 1.988 6.624
0.000 -1.988 6.624
ATOMIC_POSITIONS angstrom
Ba 0.000 0.000 0.000
Y 2.486 0.000 9.551
Hg 0.000 0.000 3.366
Hg 2.486 0.000 5.399
```


Entry 3:
Here is a geometry-optimized Ba2Y2Hg structure from Alexandria via LeMat-Bulk. Energies are from PBE-GGA. Values from VASP.

Summary:
symmetry	P4/mbm, No. 127
uncorrected energy	-3.34	eV per atom
total magnetization	1.74	μB per formula unit

Quantum ESPRESSO input file:
```
&SYSTEM
  ibrav = 0, nat = 10, ntyp = 3
/
ATOMIC_SPECIES
Ba 137.33 Ba.upf
Y 88.91 Y.upf
Hg 200.59 Hg.upf
CELL_PARAMETERS angstrom
8.064 0.000 0.000
0.000 8.064 0.000
0.000 0.000 6.232
ATOMIC_POSITIONS angstrom
Ba 1.382 2.650 0.000
Ba 2.650 6.682 0.000
Ba 5.414 1.382 0.000
Ba 6.682 5.414 0.000
Y 1.220 5.252 3.116
Y 2.813 1.220 3.116
Y 5.252 6.845 3.116
Y 6.845 2.813 3.116
Hg 0.000 0.000 3.116
Hg 4.032 4.032 3.116
```


Entry 4:
Here is a geometry-optimized Ba2YHg structure from Alexandria via LeMat-Bulk. Energies are from PBE-GGA. Values from VASP.

Summary:
symmetry	R3m, No. 160
uncorrected energy	-2.71	eV per atom
total magnetization	0.66	μB per formula unit

Quantum ESPRESSO input file:
```
&SYSTEM
  ibrav = 0, nat = 4, ntyp = 3
/
ATOMIC_SPECIES
Ba 137.33 Ba.upf
Y 88.91 Y.upf
Hg 200.59 Hg.upf
CELL_PARAMETERS angstrom
2.090 1.207 11.606
-2.090 1.207 11.606
0.000 -2.413 11.606
ATOMIC_POSITIONS angstrom
Ba 0.000 0.000 0.000
Ba 0.000 0.000 7.693
Y 0.000 0.000 26.440
Hg 0.000 0.000 16.753
```


Entry 5:
Here is a geometry-optimized Ba2YHg structure from Alexandria via LeMat-Bulk. Energies are from PBE-GGA. Values from VASP.

Summary:
symmetry	P4mm, No. 99
uncorrected energy	-2.82	eV per atom
total magnetization	0.00	μB per formula unit

Quantum ESPRESSO input file:
```
&SYSTEM
  ibrav = 0, nat = 4, ntyp = 3
/
ATOMIC_SPECIES
Ba 137.33 Ba.upf
Y 88.91 Y.upf
Hg 200.59 Hg.upf
CELL_PARAMETERS angstrom
4.006 0.000 0.000
0.000 4.006 0.000
0.000 0.000 10.470
ATOMIC_POSITIONS angstrom
Ba 0.000 0.000 0.000
Ba 2.003 2.003 3.753
Y 2.003 2.003 7.490
Hg 0.000 0.000 6.102
```


Entry 6:
Here is a geometry-optimized BaY2Hg structure from Alexandria via LeMat-Bulk. Energies are from PBE-GGA. Values from VASP.

Summary:
symmetry	Immm, No. 71
uncorrected energy	-3.93	eV per atom
total magnetization	0.00	μB per formula unit

Quantum ESPRESSO input file:
```
&SYSTEM
  ibrav = 0, nat = 4, ntyp = 3
/
ATOMIC_SPECIES
Ba 137.33 Ba.upf
Y 88.91 Y.upf
Hg 200.59 Hg.upf
CELL_PARAMETERS angstrom
-1.903 2.967 6.152
1.903 -2.967 6.152
1.903 2.967 -6.152
ATOMIC_POSITIONS angstrom
Ba 0.000 0.000 0.000
Y 1.903 0.000 3.597
Y 0.000 2.967 2.555
Hg 0.000 0.000 6.152
```